# La6Co2Cl3O (PBE+U, optimized geometry)
# total energy	-128.4	eV per cell
data_La6Co2Cl3O
_cell_length_a 19.318
_cell_length_b 3.824
_cell_length_c 8.658
_cell_angle_alpha 90.00
_cell_angle_beta 110.92
_cell_angle_gamma 90.00
_symmetry_space_group_name_H-M 'C 1 2/m 1'
_symmetry_Int_Tables_number 12
loop_
_symmetry_equiv_pos_as_xyz
'x,y,z'
'-x,-y,-z'
'-x,y,-z'
'x,-y,z'
'x+1/2,y+1/2,z'
'-x+1/2,-y+1/2,-z'
'-x+1/2,y+1/2,-z'
'x+1/2,-y+1/2,z'
loop_
_atom_site_label
_atom_site_type_symbol
_atom_site_fract_x
_atom_site_fract_y
_atom_site_fract_z
_atom_site_occupancy
La1 La 0.002 0.000 0.203 1
La2 La 0.149 0.500 0.099 1
La3 La 0.173 0.500 0.544 1
Co1 Co 0.157 0.000 0.318 1
Cl1 Cl 0.000 0.500 0.500 1
Cl2 Cl 0.175 0.000 0.833 1
O1 O 0.000 0.500 0.000 1